(1)
SrMg4Cd5 | PBE-GGA | optimized geometry

a b c (Å): 3.670 3.670 17.643
angles (deg): 90.00 90.00 90.00
Space group P4/mmm (No. 123)
Asymmetric unit:
Sr (0.000, 0.000, 0.000)
Mg (0.000, 0.000, 0.223)
Mg (0.000, 0.000, 0.408)
Cd (0.500, 0.500, 0.131)
Cd (0.500, 0.500, 0.317)
Cd (0.500, 0.500, 0.500)

Summary:
Its volume is 238 Å³/f.u. The formation energy is -0.15 eV/atom. For the magnetic moment, the calculation gives 0.00 μB/f.u.

---

(2)
PmHoPu | PBE-GGA | optimized geometry

a b c (Å): 3.530 3.530 14.896
angles (deg): 90.00 90.00 90.00
Space group I4mm (No. 107)
Asymmetric unit:
Pm (0.000, 0.000, 0.000)
Ho (0.000, 0.000, 0.327)
Pu (0.000, 0.000, 0.666)

Summary:
Its volume is 93 Å³/f.u. The formation energy is 0.12 eV/atom. For the magnetic moment, the calculation gives 6.15 μB/f.u. Its energy above the most stable polymorph in this dataset is 0 meV/atom.

---

(3)
Ce5CS5 | PBE-GGA | optimized geometry

a b c (Å): 12.643 5.608 7.904
angles (deg): 90.00 108.61 90.00
Space group C2/m (No. 12)
Asymmetric unit:
Ce (0.000, 0.000, 0.000)
Ce (0.152, 0.500, 0.839)
Ce (0.157, 0.500, 0.317)
C (0.000, 0.500, 0.000)
S (0.000, 0.500, 0.500)
S (0.167, 0.000, 0.835)
S (0.177, 0.000, 0.331)

Summary:
Its volume is 266 Å³/f.u. The value obtained for the uncorrected formation energy is -1.629 eV per atom. For the magnetic moment, the calculation gives 4.16 μB/f.u.

---

| no. | total energy (eV/cell) |
| --- | --- |
| 1 | -14.1 |
| 2 | -46.6 |
| 3 | -154.9 |